# TaRh2WF

A geometry-optimized TaRh2WF structure (PBE with a Hubbard U, the Alexandria database).

a b c (Å): 4.3024 4.3024 4.1201
angles (deg): 90.00 90.00 90.00
Space group P4/mmm (No. 123)
One atom of each set of equivalent atoms:
Ta 0.0000 0.0000 0.0000 [1 per cell]
Rh 0.0000 0.5000 0.5000 [2 per cell]
W 0.5000 0.5000 0.0000 [1 per cell]
F 0.5000 0.5000 0.5000 [1 per cell]

Output
Theoretical density ... 12837 kg/m3
Magnetization ... 0.0 μB per formula unit
Calculated total energy ... -6.6108 eV per atom